(1)
Entry from Alexandria via LeMat-Bulk: a geometry-optimized Pa4FeCSe2 structure (PBE-GGA).

The space group is P2/m (No. 10) and the conventional cell measures 6.6928, 3.7143 and 7.1480 Å, with angles of 90.00, 108.13 and 90.00 degrees. The asymmetric unit holds Pa at (0.2202, 0.0000, 0.2060), Pa at (0.2587, 0.5000, 0.7968), Fe at (0.5000, 0.0000, 0.0000), C at (0.0000, 0.5000, 0.0000), Se at (0.0000, 0.0000, 0.5000) and Se at (0.5000, 0.5000, 0.5000).

The uncorrected formation energy comes out at -0.761 eV per atom. Its total magnetization is 0.0 Bohr magnetons per cell.

***

(2)
Entry from Alexandria via LeMat-Bulk: a geometry-optimized SrMgC3 structure (PBE-GGA).

The space group is Pm-3m (No. 221) and the conventional cell measures 4.2411, 4.2411 and 4.2411 Å, with angles of 90.00, 90.00 and 90.00 degrees. The asymmetric unit holds Sr at (0.0000, 0.0000, 0.0000), Mg at (0.5000, 0.5000, 0.5000) and C at (0.0000, 0.5000, 0.5000).

The energy above the lowest structure with this stoichiometry comes out at 0 meV per atom. Its total magnetization is 0.0 Bohr magnetons per cell. As for the energy of formation: 46.78 kcal/mol of atoms.

***

(3)
Entry from Alexandria via LeMat-Bulk: a geometry-optimized BaH2W structure (PBE-GGA).

The space group is I-42d (No. 122) and the conventional cell measures 5.6000, 5.6000 and 7.7001 Å, with angles of 90.00, 90.00 and 90.00 degrees. The asymmetric unit holds Ba at (0.0000, 0.0000, 0.0000), H at (0.1419, 0.7500, 0.6250) and W at (0.0000, 0.0000, 0.5000).

The energy above the lowest structure with this stoichiometry comes out at 0 meV per atom. Its total magnetization is 0.0 Bohr magnetons per cell.